# 1
A geometry-optimized Sn2HgTe2 structure. Source: Alexandria, functional GGA-PBE.

Values from the calculation:
- Symmetry: No. 139
- ρ: 6.7 Mg/m³
- Polymorph energy (0 for the lowest one): 0.45 eV/f.u.
- Spin magnetization: 0.000 μB per atom
- Formation energy (no corrections): -75.4 meV/atom

Cell: 5.772 5.772 10.297 Å, 90.00 90.00 90.00°
Element x y z (fractional)
Sn 0.000 0.000 0.150
Sn 0.000 0.000 0.850
Sn 0.500 0.500 0.350
Sn 0.500 0.500 0.650
Hg 0.000 0.000 0.500
Hg 0.500 0.500 0.000
Te 0.000 0.500 0.250
Te 0.000 0.500 0.750
Te 0.500 0.000 0.250
Te 0.500 0.000 0.750

# 2
A geometry-optimized TeAsO2F structure. Source: Alexandria, functional GGA-PBE.

Values from the calculation:
- Symmetry: No. 123
- ρ: 5.9 Mg/m³
- Spin magnetization: 0.000 μB per atom
- Formation energy (no corrections): -425.3 meV/atom

Cell: 4.189 4.189 4.097 Å, 90.00 90.00 90.00°
Element x y z (fractional)
Te 0.000 0.000 0.000
As 0.500 0.500 0.500
O 0.000 0.500 0.500
O 0.500 0.000 0.500
F 0.500 0.500 0.000

# 3
A geometry-optimized SrCu2O4 structure. Source: Alexandria, functional GGA-PBE.

Values from the calculation:
- Symmetry: No. 141
- ρ: 5.4 Mg/m³
- Polymorph energy (0 for the lowest one): 1.98 eV/f.u.
- Spin magnetization: 0.557 μB per atom
- Formation energy (no corrections): -995.3 meV/atom

Cell: 6.074 6.074 6.074 Å, 110.24 110.24 107.94°
Element x y z (fractional)
Sr 0.375 0.625 0.750
Sr 0.625 0.375 0.250
Cu 0.000 0.000 0.000
Cu 0.000 0.000 0.500
Cu 0.000 0.500 0.000
Cu 0.500 0.000 0.500
O 0.160 0.732 0.428
O 0.196 0.268 0.928
O 0.268 0.196 0.428
O 0.268 0.840 0.072
O 0.732 0.160 0.928
O 0.732 0.804 0.572
O 0.804 0.732 0.072
O 0.840 0.268 0.572

# 4
A geometry-optimized Sm2BiI2 structure. Source: Alexandria, functional GGA-PBE.

Values from the calculation:
- Symmetry: No. 166
- ρ: 6.3 Mg/m³
- Spin magnetization: 0.000 μB per atom
- Formation energy (no corrections): -1178.3 meV/atom

Cell: 4.475 4.475 34.548 Å, 90.00 90.00 120.00°
Element x y z (fractional)
Sm 0.000 0.000 0.115
Sm 0.000 0.000 0.885
Sm 0.333 0.667 0.552
Sm 0.333 0.667 0.782
Sm 0.667 0.333 0.218
Sm 0.667 0.333 0.448
Bi 0.000 0.000 0.500
Bi 0.333 0.667 0.167
Bi 0.667 0.333 0.833
I 0.000 0.000 0.275
I 0.000 0.000 0.725
I 0.333 0.667 0.392
I 0.333 0.667 0.941
I 0.667 0.333 0.059
I 0.667 0.333 0.608

# 5
A geometry-optimized CaLa2Pr8 structure. Source: Alexandria, functional GGA-PBE.

Values from the calculation:
- Symmetry: No. 123
- ρ: 5.6 Mg/m³
- Polymorph energy (0 for the lowest one): 0.00 eV/f.u.
- Spin magnetization: 0.000 μB per atom

Cell: 5.151 5.151 16.286 Å, 90.00 90.00 90.00°
Element x y z (fractional)
Ca 0.000 0.000 0.000
La 0.000 0.000 0.330
La 0.000 0.000 0.670
Pr 0.000 0.500 0.174
Pr 0.000 0.500 0.500
Pr 0.000 0.500 0.826
Pr 0.500 0.000 0.174
Pr 0.500 0.000 0.500
Pr 0.500 0.000 0.826
Pr 0.500 0.500 0.334
Pr 0.500 0.500 0.666

# 6
A geometry-optimized Pd5Pt3 structure. Source: Alexandria, functional GGA-PBE.

Values from the calculation:
- Symmetry: No. 166
- ρ: 15.0 Mg/m³
- Polymorph energy (0 for the lowest one): 0.00 eV/f.u.
- Spin magnetization: 0.000 μB per atom

Cell: 5.595 5.595 5.595 Å, 59.89 59.89 59.89°
Element x y z (fractional)
Pd 0.000 0.000 0.000
Pd 0.000 0.500 0.500
Pd 0.500 0.000 0.500
Pd 0.500 0.500 0.000
Pd 0.500 0.500 0.500
Pt 0.000 0.000 0.500
Pt 0.000 0.500 0.000
Pt 0.500 0.000 0.000